Entry 1:
A geometry-optimized PmDy10Er4 structure, computed with PBE-GGA.

As for the energy relative to the elements: 0.35 eV per atom. The value obtained for the total energy is -4.26 eV/atom. The density comes out at 8.30 Mg/m³.

The structure belongs to space group I4/m (No. 87); the cell edges are 9.659, 9.659 and 10.466 Å and the angles 90.00°, 90.00° and 90.00°. The distinct sites, in fractional coordinates, are Pm at (0.000, 0.000, 0.000), Dy at (0.000, 0.500, 0.250), Dy at (0.113, 0.786, 0.341) and Er at (0.069, 0.664, 0.000).

Entry 2:
A geometry-optimized Te2RhI structure, computed with PBE-GGA.

The value obtained for the total energy is -3.93 eV/atom. For the uncorrected formation energy, the calculation gives -139 meV per atom. The density comes out at 5.93 Mg/m³.

The structure belongs to space group C2/c (No. 15); the cell edges are 4.937, 15.901 and 7.177 Å and the angles 90.00°, 105.46° and 90.00°. The distinct sites, in fractional coordinates, are Te at (0.181, 0.168, 0.126), Rh at (0.000, 0.202, 0.750) and I at (0.000, 0.402, 0.250).

Entry 3:
A geometry-optimized PmScF6 structure, computed with PBE-GGA.

The calculation puts the energy relative to the lowest polymorph listed for this composition at 0.108 eV/atom. The value obtained for the total energy is -6.69 eV/atom. For the uncorrected formation energy, the calculation gives -3905 meV per atom. The density comes out at 3.84 Mg/m³.

The structure belongs to space group C2/c (No. 15); the cell edges are 10.348, 6.173 and 8.234 Å and the angles 90.00°, 90.32° and 90.00°. The distinct sites, in fractional coordinates, are Pm at (0.000, 0.002, 0.250), Sc at (0.250, 0.250, 0.000), F at (0.119, 0.299, 0.174), F at (0.124, 0.294, 0.818) and F at (0.135, 0.043, 0.500).

Entry 4:
A geometry-optimized BaNdAlTl structure, computed with PBE-GGA.

As for the energy relative to the elements: -0.16 eV per atom. The value obtained for the total energy is -3.36 eV/atom. The density comes out at 6.54 Mg/m³.

The structure belongs to space group F-43m (No. 216); the cell edges are 8.045, 8.045 and 8.045 Å and the angles 90.00°, 90.00° and 90.00°. The distinct sites, in fractional coordinates, are Ba at (0.000, 0.000, 0.000), Nd at (0.000, 0.000, 0.500), Al at (0.250, 0.250, 0.750) and Tl at (0.250, 0.250, 0.250).

Entry 5:
A geometry-optimized NaCd9Pd2 structure, computed with PBE-GGA.

As for the energy relative to the elements: -0.16 eV per atom. The value obtained for the total energy is -1.83 eV/atom. The density comes out at 7.76 Mg/m³.

The structure belongs to space group I4_1/amd (No. 141, origin choice 2); the cell edges are 11.869, 11.869 and 7.581 Å and the angles 90.00°, 90.00° and 90.00°. The distinct sites, in fractional coordinates, are Na at (0.000, 0.250, 0.375), Cd at (0.000, 0.250, 0.875), Cd at (0.121, 0.050, 0.682) and Pd at (0.000, 0.000, 0.000).

Entry 6:
A geometry-optimized TbDy5Tm4 structure, computed with PBE-GGA.

As for the energy relative to the elements: 0.31 eV per atom. The value obtained for the total energy is -4.24 eV/atom. The density comes out at 8.61 Mg/m³.

The structure belongs to space group I4 (No. 79); the cell edges are 10.070, 10.070 and 6.264 Å and the angles 90.00°, 90.00° and 90.00°. The distinct sites, in fractional coordinates, are Tb at (0.000, 0.000, 0.000), Dy at (0.000, 0.000, 0.457), Dy at (0.144, 0.766, 0.728) and Tm at (0.050, 0.653, 0.229).

Entry 7:
A geometry-optimized LiTlWBr6 structure, computed with PBE-GGA.

The value obtained for the total energy is -3.77 eV/atom. For the uncorrected formation energy, the calculation gives -742 meV per atom. The density comes out at 4.85 Mg/m³.

The structure belongs to space group P-31c (No. 163); the cell edges are 6.9453, 6.9453 and 14.3301 Å and the angles 90.00°, 90.00° and 120.00°. The distinct sites, in fractional coordinates, are Li at (0.3333, 0.6667, 0.2500), Tl at (0.0000, 0.0000, 0.0000), W at (0.3333, 0.6667, 0.7500) and Br at (0.0205, 0.3815, 0.6466).

Entry 8:
A geometry-optimized SrInPt2 structure, computed with PBE-GGA.

As for the energy relative to the elements: -0.27 eV per atom. The value obtained for the total energy is -4.40 eV/atom. The density comes out at 11.54 Mg/m³.

The structure belongs to space group F-43m (No. 216); the cell edges are 6.987, 6.987 and 6.987 Å and the angles 90.00°, 90.00° and 90.00°. The distinct sites, in fractional coordinates, are Sr at (0.000, 0.000, 0.000), In at (0.250, 0.250, 0.750), Pt at (0.000, 0.000, 0.500) and Pt at (0.250, 0.250, 0.250).

Entry 9:
A geometry-optimized ReSnAs structure, computed with PBE-GGA.

As for the energy relative to the elements: -0.07 eV per atom. The value obtained for the total energy is -7.10 eV/atom. The density comes out at 10.41 Mg/m³.

The structure belongs to space group Pnma (No. 62); the cell edges are 10.979, 3.189 and 6.921 Å and the angles 90.00°, 90.00° and 90.00°. The distinct sites, in fractional coordinates, are Re at (0.092, 0.250, 0.092), Sn at (0.222, 0.250, 0.436) and As at (0.043, 0.250, 0.738).

Entry 10:
A geometry-optimized Li4GdAu structure, computed with PBE-GGA.

As for the energy relative to the elements: -0.15 eV per atom. The value obtained for the total energy is -4.32 eV/atom. The density comes out at 5.93 Mg/m³.

The structure belongs to space group F-43m (No. 216); the cell edges are 7.535, 7.535 and 7.535 Å and the angles 90.00°, 90.00° and 90.00°. The distinct sites, in fractional coordinates, are Li at (0.122, 0.122, 0.378), Gd at (0.000, 0.000, 0.000) and Au at (0.250, 0.250, 0.750).

Entry 11:
A geometry-optimized LiYTl4 structure, computed with PBE-GGA.

As for the energy relative to the elements: 0.07 eV per atom. The value obtained for the total energy is -2.90 eV/atom. The density comes out at 8.71 Mg/m³.

The structure belongs to space group F-43m (No. 216); the cell edges are 8.864, 8.864 and 8.864 Å and the angles 90.00°, 90.00° and 90.00°. The distinct sites, in fractional coordinates, are Li at (0.000, 0.000, 0.000), Y at (0.250, 0.250, 0.250) and Tl at (0.125, 0.125, 0.625).

Entry 12:
A geometry-optimized K2UBr4F2 structure, computed with PBE-GGA.

The value obtained for the total energy is -4.80 eV/atom. For the uncorrected formation energy, the calculation gives -2144 meV per atom. The density comes out at 4.00 Mg/m³.

The structure belongs to space group C2/m (No. 12); the cell edges are 12.248, 8.068 and 5.739 Å and the angles 90.00°, 99.44° and 90.00°. The distinct sites, in fractional coordinates, are K at (0.178, 0.000, 0.323), U at (0.000, 0.500, 0.000), Br at (0.110, 0.242, 0.790) and F at (0.133, 0.500, 0.278).

Entry 13:
A geometry-optimized La4Y3Cd structure, computed with PBE-GGA.

As for the energy relative to the elements: -0.06 eV per atom. The value obtained for the total energy is -5.06 eV/atom. The density comes out at 5.71 Mg/m³.

The structure belongs to space group P4/mmm (No. 123); the cell edges are 3.762, 3.762 and 19.192 Å and the angles 90.00°, 90.00° and 90.00°. The distinct sites, in fractional coordinates, are La at (0.000, 0.000, 0.110), La at (0.000, 0.000, 0.371), Y at (0.500, 0.500, 0.243), Y at (0.500, 0.500, 0.500) and Cd at (0.500, 0.500, 0.000).

Entry 14:
A geometry-optimized Ta2GaC structure, computed with PBE-GGA.

The calculation puts the energy relative to the lowest polymorph listed for this composition at 0.004 eV/atom. As for the energy relative to the elements: -0.51 eV per atom. The value obtained for the total energy is -9.50 eV/atom. The density comes out at 12.72 Mg/m³.

The structure belongs to space group R3m (No. 160, hexagonal axes); the cell edges are 3.1190, 3.1190 and 20.6292 Å and the angles 90.00°, 90.00° and 120.00°. The distinct sites, in fractional coordinates, are Ta at (0.0000, 0.0000, 0.0000), Ta at (0.0000, 0.0000, 0.2138), Ga at (0.0000, 0.0000, 0.4394) and C at (0.0000, 0.0000, 0.6072).

Entry 15:
A geometry-optimized UB3H12 structure, computed with PBE-GGA.

The value obtained for the total energy is -4.66 eV/atom. The density comes out at 2.69 Mg/m³.

The structure belongs to space group R-3c (No. 167, hexagonal axes); the cell edges are 7.8724, 7.8724 and 19.4662 Å and the angles 90.00°, 90.00° and 120.00°. The distinct sites, in fractional coordinates, are U at (0.0000, 0.0000, 0.0000), B at (0.0000, 0.4939, 0.2500), H at (0.0043, 0.1928, 0.9076) and H at (0.0183, 0.4229, 0.6988).

Entry 16:
A geometry-optimized Sm3Pd12Pb structure, computed with PBE-GGA.

As for the energy relative to the elements: -0.68 eV per atom. The value obtained for the total energy is -5.69 eV/atom. The density comes out at 11.18 Mg/m³.

The structure belongs to space group P4/mmm (No. 123); the cell edges are 4.163, 4.163 and 16.587 Å and the angles 90.00°, 90.00° and 90.00°. The distinct sites, in fractional coordinates, are Sm at (0.000, 0.000, 0.000), Sm at (0.000, 0.000, 0.251), Pd at (0.000, 0.500, 0.126), Pd at (0.000, 0.500, 0.379), Pd at (0.500, 0.500, 0.000), Pd at (0.500, 0.500, 0.254), Pd at (0.500, 0.500, 0.500) and Pb at (0.000, 0.000, 0.500).

Entry 17:
A geometry-optimized PaTaSe4 structure, computed with PBE-GGA.

The calculation puts the energy relative to the lowest polymorph listed for this composition at 0.075 eV/atom. The value obtained for the total energy is -6.63 eV/atom. For the uncorrected formation energy, the calculation gives -750 meV per atom. The density comes out at 7.53 Mg/m³.

The structure belongs to space group C2/c (No. 15); the cell edges are 9.695, 10.256 and 6.977 Å and the angles 90.00°, 112.27° and 90.00°. The distinct sites, in fractional coordinates, are Pa at (0.000, 0.001, 0.250), Ta at (0.000, 0.391, 0.750), Se at (0.045, 0.211, 0.022) and Se at (0.181, 0.468, 0.556).

Entry 18:
A geometry-optimized KSm2ReO8 structure, computed with PBE-GGA.

The value obtained for the total energy is -7.47 eV/atom. For the uncorrected formation energy, the calculation gives -2249 meV per atom. The density comes out at 5.45 Mg/m³.

The structure belongs to space group P-1 (No. 2); the cell edges are 5.464, 5.508 and 7.189 Å and the angles 82.47°, 73.68° and 73.83°. The distinct sites, in fractional coordinates, are K at (0.000, 0.000, 0.000), Sm at (0.341, 0.437, 0.317), Re at (0.000, 0.000, 0.500), O at (0.073, 0.254, 0.618), O at (0.217, 0.092, 0.264), O at (0.300, 0.745, 0.550) and O at (0.363, 0.561, 0.988).

Entry 19:
A geometry-optimized Ac2ErCu2S6 structure, computed with PBE-GGA.

The value obtained for the total energy is -5.42 eV/atom. For the uncorrected formation energy, the calculation gives -1266 meV per atom. The density comes out at 5.49 Mg/m³.

The structure belongs to space group R-3m (No. 166, hexagonal axes); the cell edges are 7.0383, 7.0383 and 19.9052 Å and the angles 90.00°, 90.00° and 120.00°. The distinct sites, in fractional coordinates, are Ac at (0.0000, 0.0000, 0.2078), Er at (0.0000, 0.0000, 0.0000), Cu at (0.0000, 0.0000, 0.4276) and S at (0.0221, 0.5111, 0.7603).

Entry 20:
A geometry-optimized Tm5Tl4Zn structure, computed with PBE-GGA.

As for the energy relative to the elements: -0.32 eV per atom. The value obtained for the total energy is -3.63 eV/atom. The density comes out at 11.23 Mg/m³.

The structure belongs to space group P4/mmm (No. 123); the cell edges are 3.596, 3.596 and 19.749 Å and the angles 90.00°, 90.00° and 90.00°. The distinct sites, in fractional coordinates, are Tm at (0.000, 0.000, 0.000), Tm at (0.000, 0.000, 0.209), Tm at (0.000, 0.000, 0.415), Tl at (0.500, 0.500, 0.105), Tl at (0.500, 0.500, 0.312) and Zn at (0.500, 0.500, 0.500).